Ba3GaGe3 | GGA-PBE | relaxed

The value obtained for the formation energy is -567 meV/atom. The value obtained for the total energy is -3.80 eV per atom. The relative energy among the computed polymorphs is 0.0 meV per atom. For the density of states at the Fermi level, the calculation gives 0.42 states/eV/atom.

The space group is Imm2 (No. 44) and the conventional cell measures 4.356, 5.083 and 19.923 Å, with angles of 90.00, 90.00 and 90.00 degrees. Symmetry generates all atoms from Ba at (0.000, 0.000, 0.000), Ba at (0.000, 0.000, 0.365), Ba at (0.000, 0.500, 0.686), Ga at (0.000, 0.500, 0.118), Ge at (0.000, 0.000, 0.549), Ge at (0.000, 0.000, 0.820) and Ge at (0.000, 0.500, 0.246).

Al2PtSe | GGA-PBE | relaxed

The value obtained for the total energy is -4.51 eV per atom. Its raw formation energy is -0.258 eV per atom. For the density of states at the Fermi level, the calculation gives 0.48 states/eV/atom.

The space group is P4/mmm (No. 123) and the conventional cell measures 4.843, 4.843 and 2.868 Å, with angles of 90.00, 90.00 and 90.00 degrees. Symmetry generates all atoms from Al at (0.000, 0.500, 0.000), Pt at (0.000, 0.000, 0.500) and Se at (0.500, 0.500, 0.500).

MnV2Ir | GGA-PBE | relaxed

The value obtained for the formation energy is -240 meV/atom. The value obtained for the total energy is -9.31 eV per atom. For the density of states at the Fermi level, the calculation gives 1.35 states/eV/atom.

The space group is P4/mmm (No. 123) and the conventional cell measures 4.302, 4.302 and 2.892 Å, with angles of 90.00, 90.00 and 90.00 degrees. Symmetry generates all atoms from Mn at (0.000, 0.000, 0.000), V at (0.000, 0.500, 0.500) and Ir at (0.500, 0.500, 0.000).

Hf2ReTePt | GGA-PBE | relaxed

The value obtained for the total energy is -6.87 eV per atom. Its raw formation energy is 1.437 eV per atom. For the density of states at the Fermi level, the calculation gives 0.91 states/eV/atom.

The space group is P4/mmm (No. 123) and the conventional cell measures 5.122, 5.122 and 4.726 Å, with angles of 90.00, 90.00 and 90.00 degrees. Symmetry generates all atoms from Hf at (0.000, 0.500, 0.000), Re at (0.000, 0.000, 0.500), Te at (0.000, 0.000, 0.000) and Pt at (0.500, 0.500, 0.500).